DFT (PBE) results for crystalline CaPrBiN at its relaxed geometry.

a b c (Å): 4.727 4.727 9.321
angles (deg): 90.00 90.00 90.00
Space group P4/nmm (No. 129, origin choice 2)
Unique sites:
Ca: 0.250 0.750 0.000
Pr: 0.250 0.250 0.315
Bi: 0.250 0.250 0.690
N: 0.250 0.250 0.080

Summary:
Crystal system ... tetragonal
Raw total energy ... -5.622 eV per atom
Volume ... 208.3 Å³ per cell
E_form (uncorrected) ... -875 meV/atom


DFT (PBE) results for crystalline CaBiPt2N at its relaxed geometry.

a b c (Å): 5.106 5.106 6.127
angles (deg): 90.00 90.00 90.00
Space group P4/mmm (No. 123)
Unique sites:
Ca: 0.000 0.000 0.000
Bi: 0.000 0.000 0.500
Pt: 0.000 0.500 0.500
N: 0.500 0.500 0.000

Summary:
Crystal system ... tetragonal
Raw total energy ... -3.853 eV per atom
Volume ... 159.7 Å³ per cell
E_form (uncorrected) ... 1405 meV/atom


DFT (PBE) results for crystalline Ca12Bi4PtN3 at its relaxed geometry.

a b c (Å): 10.120 10.120 10.120
angles (deg): 90.00 90.00 90.00
Space group Im-3m (No. 229)
Unique sites:
Ca: 0.000 0.000 0.270
Ca: 0.000 0.250 0.500
Bi: 0.250 0.250 0.250
Pt: 0.000 0.000 0.000
N: 0.000 0.000 0.500

Summary:
Crystal system ... cubic
Raw total energy ... -4.454 eV per atom
Volume ... 1036.5 Å³ per cell
E_form (uncorrected) ... -926 meV/atom


- Which of these has the lowest volume?
  CaBiPt2N


- Number 1 is which compound?
  CaPrBiN


- Which value of volume does entry 1 give?
  208.3 Å³ per cell


- Which formula does entry 2 have?
  CaBiPt2N